[1]
Density functional theory data (PBE) for a relaxed structure of KUPb2S5.

abc: 5.123 7.345 8.377
angles: 116.00 107.80 90.00
Last column: magnetic moment on the atom in μB.
Positions (direct):
Pb1 0.212 0.212 0.425  0.00
S1 0.635 0.375 0.270  -0.03
S2 0.000 0.000 0.000  -0.04
U1 0.500 0.000 0.000  1.18
S3 0.365 0.625 0.730  -0.03
Pb2 0.788 0.788 0.575  0.00
S4 0.635 0.895 0.270  -0.03
K1 0.000 0.500 0.000  0.00
S5 0.365 0.105 0.730  -0.03

The calculation puts the total energy at -5.3935 eV/atom. The spin magnetization comes out at 1.00 μB per formula unit. The density of states at the Fermi level is 3.35 states/eV per cell. The formation energy without anion corrections is -0.900 eV/atom.

---

[2]
Density functional theory data (PBE) for a relaxed structure of K2UPb2S6.

abc: 7.175 7.175 7.784
angles: 99.61 99.61 118.19
Positions (direct):
S1 0.366 0.067 0.700
K1 0.178 0.822 0.000
S2 0.634 0.933 0.300
Pb1 0.332 0.668 0.500
K2 0.822 0.178 0.000
Pb2 0.668 0.332 0.500
S3 0.786 0.786 0.700
S4 0.214 0.214 0.300
S5 0.933 0.634 0.300
S6 0.067 0.366 0.700
U1 0.000 0.000 0.500

The calculation puts the total energy at -5.2005 eV/atom. The spin magnetization comes out at 0.00 μB per formula unit. The formation energy without anion corrections is -1.049 eV/atom.

---

[3]
Density functional theory data (PBE) for a relaxed structure of K2UPbS6.

abc: 7.446 7.446 7.271
angles: 59.20 59.20 59.99
Positions (direct):
U1 0.316 0.316 0.052
S1 0.084 0.486 0.807
S2 0.146 0.009 0.295
S3 0.009 0.551 0.294
K1 0.565 0.565 0.306
K2 0.067 0.066 0.800
S4 0.623 0.083 0.807
Pb1 0.816 0.816 0.553
S5 0.550 0.146 0.295
S6 0.486 0.623 0.806

The calculation puts the total energy at -5.0266 eV/atom. The spin magnetization comes out at 0.00 μB per formula unit. The density of states at the Fermi level is 6.33 states/eV per cell. The formation energy without anion corrections is -0.831 eV/atom.

---

[4]
Density functional theory data (PBE) for a relaxed structure of K2UPbS4.

abc: 4.170 7.674 7.364
angles: 72.13 90.00 90.00
Last column: magnetic moment on the atom in μB.
Positions (direct):
S1 0.000 0.707 0.733  -0.04
U1 0.000 0.500 0.500  2.08
S2 0.000 0.293 0.267  -0.04
K1 0.000 0.000 0.000  0.00
Pb1 0.500 0.500 0.000  0.00
S3 0.500 0.701 0.287  -0.04
K2 0.500 0.000 0.500  0.00
S4 0.500 0.299 0.713  -0.04

The calculation puts the total energy at -5.4134 eV/atom. The spin magnetization comes out at 2.00 μB per formula unit. The density of states at the Fermi level is 3.75 states/eV per cell. The formation energy without anion corrections is -1.201 eV/atom.

---

[5]
Density functional theory data (PBE) for a relaxed structure of KVPbS4.

abc: 6.711 6.769 9.241
angles: 90.00 105.15 90.00
Positions (direct):
S1 0.684 0.250 0.493
S2 0.316 0.750 0.507
K1 0.786 0.750 0.472
Pb1 0.777 0.750 0.971
S3 0.005 0.996 0.800
S4 0.995 0.496 0.200
K2 0.214 0.250 0.528
V1 0.798 0.250 0.729
S5 0.005 0.504 0.800
S6 0.566 0.250 0.849
Pb2 0.223 0.250 0.029
V2 0.202 0.750 0.271
S7 0.434 0.750 0.151
S8 0.995 0.004 0.200

The calculation puts the total energy at -5.1859 eV/atom. The spin magnetization comes out at 0.00 μB per formula unit. The formation energy without anion corrections is -0.838 eV/atom.

---

[6]
Density functional theory data (PBE) for a relaxed structure of K2V2PbS7.

abc: 6.789 6.789 10.229
angles: 70.62 70.62 60.00
Positions (direct):
K1 0.699 0.699 0.903
S1 0.613 0.212 0.301
S2 0.874 0.613 0.301
V1 0.922 0.922 0.235
K2 0.301 0.301 0.097
S3 0.126 0.788 0.699
S4 0.000 0.000 0.000
S5 0.788 0.387 0.699
V2 0.078 0.078 0.765
S6 0.212 0.874 0.301
S7 0.387 0.126 0.699
Pb1 0.500 0.500 0.500

The calculation puts the total energy at -5.2004 eV/atom. The spin magnetization comes out at 0.00 μB per formula unit. The formation energy without anion corrections is -0.781 eV/atom.

---

[7]
Density functional theory data (PBE) for a relaxed structure of K2PbWS.

abc: 6.868 5.191 6.868
angles: 90.00 90.00 90.00
Last column: magnetic moment on the atom in μB.
Positions (direct):
K1 0.500 0.000 0.000  0.00
K2 0.000 0.000 0.500  0.00
W1 0.500 0.500 0.500  3.45
S1 0.000 0.500 0.000  -0.01
Pb1 0.000 0.000 0.000  -0.09

The calculation puts the total energy at -3.2335 eV/atom. The spin magnetization comes out at 4.60 μB per formula unit. The density of states at the Fermi level is 3.56 states/eV per cell. The formation energy without anion corrections is 1.363 eV/atom.

---

[8]
Density functional theory data (PBE) for a relaxed structure of K2PbWS4.

abc: 6.145 7.584 13.110
angles: 84.55 76.45 66.10
Last column: magnetic moment on the atom in μB.
Positions (direct):
W1 0.500 0.000 0.000  0.12
S1 0.281 0.217 0.889  0.00
S2 0.363 0.717 0.389  0.00
S3 0.502 0.217 0.111  0.00
S4 0.469 0.283 0.611  0.00
Pb1 0.750 0.500 0.500  0.00
S5 0.919 0.717 0.611  0.00
K1 0.813 0.000 0.374  0.00
S6 0.831 0.783 0.889  0.00
K2 0.937 0.500 0.126  0.00
S7 0.387 0.783 0.111  0.00
K3 0.187 0.000 0.626  0.00
Pb2 0.000 0.000 0.000  0.00
S8 0.248 0.283 0.389  0.00
W2 0.250 0.500 0.500  0.12
K4 0.563 0.500 0.874  0.00

The calculation puts the total energy at -4.9315 eV/atom. The spin magnetization comes out at 0.18 μB per formula unit. The density of states at the Fermi level is 8.82 states/eV per cell. The formation energy without anion corrections is -0.511 eV/atom.

---

[9]
Density functional theory data (PBE) for a relaxed structure of KZrPb2S.

abc: 5.762 5.115 5.762
angles: 90.00 90.00 90.00
Last column: magnetic moment on the atom in μB.
Positions (direct):
Zr1 0.000 0.500 0.000  0.36
Pb1 0.000 0.000 0.500  0.00
K1 0.000 0.000 0.000  0.05
Pb2 0.500 0.000 0.000  -0.01
S1 0.500 0.500 0.500  -0.01

The calculation puts the total energy at -2.6585 eV/atom. The spin magnetization comes out at 0.51 μB per formula unit. The density of states at the Fermi level is 4.78 states/eV per cell. The formation energy without anion corrections is 1.579 eV/atom.

---

[10]
Density functional theory data (PBE) for a relaxed structure of KSbPb3.

abc: 7.205 7.280 6.980
angles: 90.00 90.07 90.00
Positions (direct):
Sb1 0.126 0.768 0.701
Sb2 0.626 0.585 0.201
Pb1 0.970 0.431 0.950
Pb2 0.827 0.068 0.700
Pb3 0.471 0.922 0.951
K1 0.985 0.918 0.201
Pb4 0.327 0.285 0.201
Pb5 0.470 0.922 0.450
Pb6 0.971 0.430 0.451
K2 0.485 0.434 0.701

For the relative energy among the computed polymorphs, the calculation gives 0.000 eV/atom. The calculation puts the total energy at -3.3645 eV/atom. The spin magnetization comes out at 0.00 μB per formula unit. The density of states at the Fermi level is 3.69 states/eV per cell. The formation energy without anion corrections is -0.096 eV/atom.

---

[11]
Density functional theory data (PBE) for a relaxed structure of KSb3Pb3.

abc: 8.651 8.651 8.651
angles: 90.00 90.00 90.00
Positions (direct):
Sb1 0.000 0.250 0.500
Sb2 0.750 0.500 0.000
Pb1 0.000 0.500 0.750
Pb2 0.500 0.750 0.000
Sb3 0.500 0.000 0.250
Sb4 0.000 0.750 0.500
Pb3 0.250 0.000 0.500
Sb5 0.250 0.500 0.000
K1 0.500 0.500 0.500
Pb4 0.750 0.000 0.500
Sb6 0.500 0.000 0.750
Pb5 0.500 0.250 0.000
K2 0.000 0.000 0.000
Pb6 0.000 0.500 0.250

For the relative energy among the computed polymorphs, the calculation gives 0.129 eV/atom. The calculation puts the total energy at -3.4670 eV/atom. The spin magnetization comes out at 0.00 μB per formula unit. The density of states at the Fermi level is 11.57 states/eV per cell. The formation energy without anion corrections is 0.046 eV/atom.

---

[12]
Density functional theory data (PBE) for a relaxed structure of K3Sb2Pb.

abc: 5.221 7.097 14.026
angles: 91.96 90.00 111.58
Positions (direct):
K1 0.878 0.757 0.733
Sb1 0.438 0.875 0.583
Pb1 0.613 0.227 0.739
Sb2 0.893 0.787 0.138
K2 0.145 0.291 0.570
Sb3 0.562 0.125 0.417
K3 0.631 0.262 0.041
K4 0.855 0.709 0.430
Sb4 0.107 0.213 0.862
K5 0.369 0.738 0.959
Pb2 0.387 0.773 0.261
K6 0.122 0.243 0.267

The calculation puts the total energy at -2.8616 eV/atom. The spin magnetization comes out at 0.00 μB per formula unit. The density of states at the Fermi level is 3.63 states/eV per cell. The formation energy without anion corrections is -0.321 eV/atom.

---

[13]
Density functional theory data (PBE) for a relaxed structure of K2SbPb.

abc: 10.122 10.122 7.813
angles: 49.63 49.63 90.00
Positions (direct):
K1 0.375 0.408 0.750
Pb1 0.000 0.000 0.000
Sb1 0.250 0.750 0.500
K2 0.158 0.625 0.250
K3 0.592 0.125 0.250
K4 0.875 0.842 0.750
Pb2 0.750 0.250 0.500
Sb2 0.500 0.500 0.000

For the relative energy among the computed polymorphs, the calculation gives 0.285 eV/atom. The calculation puts the total energy at -2.5235 eV/atom. The spin magnetization comes out at 0.00 μB per formula unit. The density of states at the Fermi level is 6.11 states/eV per cell. The formation energy without anion corrections is -0.017 eV/atom.

---

[14]
Density functional theory data (PBE) for a relaxed structure of K2SbPb.

abc: 5.856 5.856 5.856
angles: 60.00 60.00 60.00
Positions (direct):
K1 0.000 0.000 0.000
Sb1 0.750 0.750 0.750
Pb1 0.500 0.500 0.500
K2 0.250 0.250 0.250

For the relative energy among the computed polymorphs, the calculation gives 0.116 eV/atom. The calculation puts the total energy at -2.6931 eV/atom. The spin magnetization comes out at 0.00 μB per formula unit. The density of states at the Fermi level is 1.10 states/eV per cell. The formation energy without anion corrections is -0.187 eV/atom.

---

[15]
Density functional theory data (PBE) for a relaxed structure of K2SbPb.

abc: 6.888 6.888 6.888
angles: 141.84 129.72 64.83
Positions (direct):
Sb1 0.287 0.787 0.500
K1 0.023 0.023 0.000
K2 0.734 0.234 0.500
Pb1 0.456 0.456 0.000

For the relative energy among the computed polymorphs, the calculation gives 0.000 eV/atom. The calculation puts the total energy at -2.8090 eV/atom. The spin magnetization comes out at 0.00 μB per formula unit. The density of states at the Fermi level is 1.98 states/eV per cell. The formation energy without anion corrections is -0.303 eV/atom.

---

[16]
Density functional theory data (PBE) for a relaxed structure of KSbPb.

abc: 6.912 6.912 4.105
angles: 72.73 72.72 34.55
Positions (direct):
Sb1 0.696 0.696 0.304
K1 0.004 0.004 0.996
Pb1 0.300 0.300 0.700

The calculation puts the total energy at -3.1883 eV/atom. The spin magnetization comes out at 0.00 μB per formula unit. The density of states at the Fermi level is 1.83 states/eV per cell. The formation energy without anion corrections is -0.212 eV/atom.

---

[17]
Density functional theory data (PBE) for a relaxed structure of KSbPb4.

abc: 6.590 6.590 6.590
angles: 60.00 60.00 60.00
Positions (direct):
Pb1 0.375 0.875 0.375
Sb1 0.750 0.750 0.750
K1 0.000 0.000 0.000
Pb2 0.375 0.375 0.375
Pb3 0.875 0.375 0.375
Pb4 0.375 0.375 0.875

The calculation puts the total energy at -3.2800 eV/atom. The spin magnetization comes out at 0.00 μB per formula unit. The density of states at the Fermi level is 2.88 states/eV per cell. The formation energy without anion corrections is 0.062 eV/atom.

---

[18]
Density functional theory data (PBE) for a relaxed structure of K2SbPb.

abc: 4.737 6.792 10.769
angles: 85.80 77.29 69.59
Positions (direct):
K1 0.236 0.199 0.330
Pb1 0.593 0.915 0.899
K2 0.401 0.480 0.718
Pb2 0.042 0.764 0.152
Sb1 0.532 0.617 0.320
K3 0.817 0.841 0.525
Sb2 0.104 0.061 0.731
K4 0.818 0.340 0.025

For the relative energy among the computed polymorphs, the calculation gives 0.010 eV/atom. The calculation puts the total energy at -2.7994 eV/atom. The spin magnetization comes out at 0.00 μB per formula unit. The density of states at the Fermi level is 5.42 states/eV per cell. The formation energy without anion corrections is -0.293 eV/atom.

---

[19]
Density functional theory data (PBE) for a relaxed structure of K2SbPb.

abc: 6.089 6.089 6.089
angles: 126.43 126.43 79.18
Positions (direct):
Pb1 0.500 0.500 0.000
Sb1 0.750 0.250 0.500
K1 0.250 0.750 0.500
K2 0.000 0.000 0.000

For the relative energy among the computed polymorphs, the calculation gives 0.115 eV/atom. The calculation puts the total energy at -2.6939 eV/atom. The spin magnetization comes out at 0.00 μB per formula unit. The density of states at the Fermi level is 1.66 states/eV per cell. The formation energy without anion corrections is -0.187 eV/atom.

---

[20]
Density functional theory data (PBE) for a relaxed structure of KSb2Pb.

abc: 4.990 4.988 4.897
angles: 90.00 90.00 90.00
Positions (direct):
K1 0.500 0.000 0.500
Pb1 0.000 0.500 0.500
Sb1 0.000 0.000 0.000
Sb2 0.500 0.500 0.000

The calculation puts the total energy at -3.3513 eV/atom. The spin magnetization comes out at 0.00 μB per formula unit. The density of states at the Fermi level is 1.82 states/eV per cell. The formation energy without anion corrections is -0.089 eV/atom.

---

[21]
Density functional theory data (PBE) for a relaxed structure of K3SbPb.

abc: 6.676 6.676 6.676
angles: 90.00 90.00 90.00
Last column: magnetic moment on the atom in μB.
Positions (direct):
K1 0.000 0.500 0.000  0.00
Sb1 0.000 0.000 0.000  -0.12
K2 0.500 0.000 0.000  0.01
K3 0.000 0.000 0.500  0.00
Pb1 0.500 0.500 0.500  0.64

For the relative energy among the computed polymorphs, the calculation gives 0.293 eV/atom. The calculation puts the total energy at -2.1025 eV/atom. The spin magnetization comes out at 2.00 μB per formula unit. The density of states at the Fermi level is 10.16 states/eV per cell. The formation energy without anion corrections is 0.122 eV/atom.

---

[22]
Density functional theory data (PBE) for a relaxed structure of KSb2Pb.

abc: 6.071 6.071 6.071
angles: 131.62 131.62 70.82
Positions (direct):
Sb1 0.500 0.500 0.000
Pb1 0.750 0.250 0.500
K1 0.250 0.750 0.500
Sb2 0.000 0.000 0.000

The calculation puts the total energy at -3.3488 eV/atom. The spin magnetization comes out at 0.00 μB per formula unit. The density of states at the Fermi level is 1.86 states/eV per cell. The formation energy without anion corrections is -0.086 eV/atom.

---

[23]
Density functional theory data (PBE) for a relaxed structure of KSbPb2.

abc: 4.262 4.262 7.717
angles: 90.00 90.00 90.00
Positions (direct):
K1 0.500 0.500 0.750
Pb1 0.000 0.000 0.056
Sb1 0.500 0.500 0.250
Pb2 0.000 0.000 0.444

The calculation puts the total energy at -3.2546 eV/atom. The spin magnetization comes out at 0.00 μB per formula unit. The density of states at the Fermi level is 2.26 states/eV per cell. The formation energy without anion corrections is -0.095 eV/atom.

---

[24]
Density functional theory data (PBE) for a relaxed structure of K2SbPb.

abc: 6.159 6.159 6.870
angles: 83.48 83.48 32.98
Positions (direct):
Sb1 0.250 0.250 0.250
Pb1 0.750 0.750 0.750
K1 0.506 0.506 0.485
K2 0.994 0.994 0.015

For the relative energy among the computed polymorphs, the calculation gives 0.230 eV/atom. The calculation puts the total energy at -2.5788 eV/atom. The spin magnetization comes out at 0.00 μB per formula unit. The density of states at the Fermi level is 2.86 states/eV per cell. The formation energy without anion corrections is -0.072 eV/atom.

---

[25]
Density functional theory data (PBE) for a relaxed structure of KSb2Pb.

abc: 6.025 6.025 6.414
angles: 75.35 75.35 39.86
Positions (direct):
Pb1 0.250 0.250 0.250
Sb1 0.511 0.511 0.411
K1 0.750 0.750 0.750
Sb2 0.989 0.989 0.089

The calculation puts the total energy at -3.4163 eV/atom. The spin magnetization comes out at 0.00 μB per formula unit. The density of states at the Fermi level is 1.84 states/eV per cell. The formation energy without anion corrections is -0.154 eV/atom.